[1]
First-principles (PBE-GGA) data for a geometry-optimized Ac2LaPmSe4 structure, as listed in the Alexandria database.

Cell lengths 4.3276, 7.5998, 7.5493 Å; angles 70.85, 90.00, 90.00 degrees
Positions (direct):
Se  0.0000  0.7372  0.7507
Se  0.5000  0.7347  0.2588
Se  0.0000  0.2628  0.2493
Se  0.5000  0.2653  0.7412
Pm  0.0000  0.5000  0.5000
Ac  0.5000  0.0000  0.5000
Ac  0.0000  0.0000  0.0000
La  0.5000  0.5000  0.0000

VASP energy, Ry per atom: -0.431
Size of the total moment, μB/f.u.: 0.0
DOS(E_F), states/eV/cell: 5.2
SG: P2/m (10)
Crystal system: monoclinic



[2]
First-principles (PBE-GGA) data for a geometry-optimized NaTl3Cu2Br6 structure, as listed in the Alexandria database.

Cell lengths 8.0194, 8.0194, 8.5719 Å; angles 90.00, 90.00, 120.00 degrees
Positions (direct):
Tl  0.6667  0.3333  0.3813
Tl  0.3333  0.6667  0.6187
Tl  0.0000  0.0000  0.0000
Br  0.1641  0.8359  0.2861
Br  0.1641  0.3281  0.2861
Br  0.6719  0.8359  0.2861
Br  0.8359  0.1641  0.7139
Br  0.3281  0.1641  0.7139
Br  0.8359  0.6719  0.7139
Na  0.0000  0.0000  0.5000
Cu  0.3333  0.6667  0.2861
Cu  0.6667  0.3333  0.7139

VASP energy, Ry per atom: -0.215
Size of the total moment, μB/f.u.: 0.0
DOS(E_F), states/eV/cell: 0.0
SG: P-3m1 (164)
Crystal system: trigonal



[3]
First-principles (PBE-GGA) data for a geometry-optimized CdPbBr2 structure, as listed in the Alexandria database.

Cell lengths 4.1830, 3.5563, 9.1113 Å; angles 99.85, 90.00, 90.00 degrees
Positions (direct):
Br  0.0000  0.3071  0.5393
Br  0.0000  0.1929  0.9607
Pb  0.5000  0.7500  0.7500
Cd  0.5000  0.2500  0.2500

Size of the total moment, μB/f.u.: 0.0
Excess energy over the best structure of this formula in the dataset, eV/atom: 0.135
DOS(E_F), states/eV/cell: 0.5
SG: P2/m (10)
Crystal system: monoclinic



[4]
First-principles (PBE-GGA) data for a geometry-optimized LiYCu3 structure, as listed in the Alexandria database.

Cell lengths 5.2032, 5.2032, 5.2032 Å; angles 90.00, 90.00, 90.00 degrees
Positions (direct):
Cu  0.0000  0.0000  0.5000
Cu  0.0000  0.5000  0.0000
Cu  0.5000  0.0000  0.0000
Y  0.0000  0.0000  0.0000
Li  0.5000  0.5000  0.5000

Size of the total moment, μB/f.u.: 0.0
Energy of formation, eV/atom: 0.92
Excess energy over the best structure of this formula in the dataset, eV/atom: 0.781
DOS(E_F), states/eV/cell: 2.2
SG: Pm-3m (221)
Crystal system: cubic